1.
A plane-wave DFT calculation with PBE was carried out for a relaxed MgBe2Ag crystal.

Results
Formation enthalpy at 0 K (eV per atom): 0.58
Space-group type: I-42d (122)
VASP energy (eV per atom): -2.3919

a b c (Å): 5.5481 5.5481 5.5481
angles (deg): 102.11 102.11 125.47
Fractional positions:
Mg1 0.0000 0.0000 0.0000
Mg2 0.7500 0.2500 0.5000
Be1 0.1606 0.6250 0.0356
Be2 0.3750 0.4106 0.5356
Be3 0.5894 0.1250 0.9644
Be4 0.8750 0.8394 0.4644
Ag1 0.2500 0.7500 0.5000
Ag2 0.5000 0.5000 0.0000

2.
A plane-wave DFT calculation with PBE was carried out for a relaxed Sc6InCu2 crystal.

Results
Formation enthalpy at 0 K (eV per atom): -0.24
Space-group type: Immm (71)
VASP energy (eV per atom): -5.6711

a b c (Å): 7.9400 7.9400 7.9400
angles (deg): 111.17 110.47 106.80
Fractional positions:
Sc1 0.0298 0.8171 0.2127
Sc2 0.2369 0.5235 0.2866
Sc3 0.2369 0.9504 0.7134
Sc4 0.2843 0.3128 0.5971
Sc5 0.2843 0.6872 0.9716
Sc6 0.3956 0.1829 0.2127
Sc7 0.6044 0.8171 0.7873
Sc8 0.7157 0.3128 0.0284
Sc9 0.7157 0.6872 0.4029
Sc10 0.7631 0.0496 0.2866
Sc11 0.7631 0.4765 0.7134
Sc12 0.9702 0.1829 0.7873
In1 0.0000 0.5000 0.5000
In2 0.5000 0.0000 0.5000
Cu1 0.0000 0.1384 0.1384
Cu2 0.0000 0.8616 0.8616
Cu3 0.3722 0.3722 0.0000
Cu4 0.6278 0.6278 0.0000

3.
A plane-wave DFT calculation with PBE was carried out for a relaxed AlCrCd crystal.

Results
Formation enthalpy at 0 K (eV per atom): 0.46
Space-group type: F-43m (216)
Excess energy over the best structure of this formula in the dataset (eV/f.u.): 0.72
VASP energy (eV per atom): -4.3003

a b c (Å): 4.3993 4.3993 4.3993
angles (deg): 60.00 60.00 60.00
Fractional positions:
Al1 0.0000 0.0000 0.0000
Cr1 0.7500 0.7500 0.7500
Cd1 0.2500 0.2500 0.2500

4.
A plane-wave DFT calculation with PBE was carried out for a relaxed CrAsPd3 crystal.

Results
Formation enthalpy at 0 K (eV per atom): 0.93
Space-group type: Pm-3m (221)
Excess energy over the best structure of this formula in the dataset (eV/f.u.): 3.13
VASP energy (eV per atom): -5.0403

a b c (Å): 4.5730 4.5730 4.5730
angles (deg): 90.00 90.00 90.00
Fractional positions:
Cr1 0.0000 0.0000 0.0000
As1 0.5000 0.5000 0.5000
Pd1 0.0000 0.0000 0.5000
Pd2 0.0000 0.5000 0.0000
Pd3 0.5000 0.0000 0.0000